(1)
The following is a PBE calculation of a relaxed structure of YPaPb2, from Alexandria via LeMat-Bulk.

- Offset from the most stable computed form: 0.080 eV per atom
- Spin magnetization: 0.55 Bohr magnetons per cell
- ΔE_f: -0.079 eV per atom
- Calculated total energy: -5.924 eV per atom

Cell: 5.082 5.082 5.979 Å, 64.85 64.85 60.00°
Last column: magnetic moment on the atom in μB.
Sites, in units of the cell vectors:
Pb (0.248, 0.248, 0.256)  0.00
Pb (0.752, 0.752, 0.744)  0.00
Pa (0.000, 0.000, 0.000)  0.47
Y (0.500, 0.500, 0.500)  0.02

=====

(2)
The following is a PBE calculation of a relaxed structure of YPaPb2, from Alexandria via LeMat-Bulk.

- Offset from the most stable computed form: 0.000 eV per atom
- Spin magnetization: 1.02 Bohr magnetons per cell
- ΔE_f: -0.159 eV per atom
- Calculated total energy: -6.003 eV per atom

Cell: 3.305 5.805 5.805 Å, 90.00 90.00 90.00°
Last column: magnetic moment on the atom in μB.
Sites, in units of the cell vectors:
Pb (0.000, 0.000, 0.500)  -0.01
Pb (0.000, 0.500, 0.000)  -0.01
Y (0.500, 0.500, 0.500)  0.16
Pa (0.500, 0.000, 0.000)  0.67

=====

(3)
The following is a PBE calculation of a relaxed structure of YPaPb2, from Alexandria via LeMat-Bulk.

- Offset from the most stable computed form: 0.010 eV per atom
- Spin magnetization: 0.85 Bohr magnetons per cell
- ΔE_f: -0.149 eV per atom
- Calculated total energy: -5.993 eV per atom

Cell: 3.485 3.485 9.090 Å, 90.00 90.00 90.00°
Last column: magnetic moment on the atom in μB.
Sites, in units of the cell vectors:
Pa (0.500, 0.500, 0.500)  0.76
Y (0.500, 0.500, 0.000)  -0.01
Pb (0.000, 0.000, 0.248)  -0.01
Pb (0.000, 0.000, 0.752)  -0.01

=====

(4)
The following is a PBE calculation of a relaxed structure of PaZnPb, from Alexandria via LeMat-Bulk.

- Spin magnetization: 0.00 Bohr magnetons per cell
- ΔE_f: 0.280 eV per atom
- Calculated total energy: -4.546 eV per atom

Cell: 3.708 3.708 12.987 Å, 90.00 90.00 120.00°
Sites, in units of the cell vectors:
Zn (0.667, 0.333, 0.060)
Zn (0.333, 0.667, 0.940)
Pb (0.000, 0.000, 0.228)
Pb (0.000, 0.000, 0.772)
Pa (0.333, 0.667, 0.438)
Pa (0.667, 0.333, 0.562)